1.
# HfBeAu

HfBeAu after structural relaxation (PBE, Alexandria).

Unit cell a=3.5070 b=4.9597 c=5.8939 alpha=104.23 beta=107.31 gamma=90.00
With the nearest neighbours (Å) after each atom.
Atoms (fractional coordinates):
Au1 0.5835 0.7754 0.1670  3 Be 2.36-2.39
Be1 0.7673 0.1371 0.5347  2 Be 2.19, 3 Au 2.36-2.39
Au2 0.4165 0.2246 0.8330  3 Be 2.36-2.39
Hf1 0.1335 0.3241 0.2670  4 Be 2.62-2.79
Hf2 0.8665 0.6759 0.7330  4 Be 2.62-2.79
Be2 0.2327 0.8629 0.4653  2 Be 2.19, 3 Au 2.36-2.39

Results
**ΔH_f (0 K)**: -0.384 eV/atom
**Relative energy among the computed polymorphs**: 33 meV per atom
**Crystal system**: monoclinic



2.
# HfBeAu

HfBeAu after structural relaxation (PBE, Alexandria).

Unit cell a=3.0439 b=3.0439 c=5.5702 alpha=105.86 beta=105.86 gamma=90.00
With the nearest neighbours (Å) after each atom.
Atoms (fractional coordinates):
Hf1 0.3225 0.3225 0.6451  4 Be 2.78, 5 Au 3.00-3.04, 4 Hf 3.04
Be1 0.6510 0.6510 0.3020  4 Au 2.50, 4 Hf 2.78
Au1 0.0264 0.0264 0.0529  4 Be 2.50

Results
**ΔH_f (0 K)**: -0.215 eV/atom
**Relative energy among the computed polymorphs**: 201 meV per atom
**Crystal system**: tetragonal



3.
# HfMn2BeAu

HfMn2BeAu after structural relaxation (PBE, Alexandria).

Unit cell a=4.0969 b=4.1576 c=4.0969 alpha=90.00 beta=90.00 gamma=90.00
With the nearest neighbours (Å) after each atom.
Atoms (fractional coordinates):
Mn1 0.0000 0.0000 0.5000  2 Be 2.05
Mn2 0.5000 0.0000 0.0000  2 Be 2.05
Au1 0.0000 0.5000 0.0000  2 Be 2.08
Hf1 0.5000 0.5000 0.5000  4 Au 2.90, 8 Mn 2.92
Be1 0.0000 0.0000 0.0000  4 Mn 2.05, 2 Au 2.08

Results
**ΔH_f (0 K)**: 0.209 eV/atom
**Crystal system**: tetragonal



4.
# Hf2BeOsAu

Hf2BeOsAu after structural relaxation (PBE, Alexandria).

Unit cell a=5.0841 b=4.0093 c=5.0841 alpha=90.00 beta=90.00 gamma=90.00
With the nearest neighbours (Å) after each atom.
Atoms (fractional coordinates):
Au1 0.0000 0.0000 0.0000  2 Be 2.00
Hf1 0.0000 0.0000 0.5000  2 Au 2.54
Os1 0.5000 0.5000 0.5000  8 Hf 3.24, 4 Be 3.60
Be1 0.0000 0.5000 0.0000  2 Au 2.00
Hf2 0.5000 0.0000 0.0000  2 Au 2.54

Results
**ΔH_f (0 K)**: 0.920 eV/atom
**Crystal system**: tetragonal



5.
# HfBePdAu

HfBePdAu after structural relaxation (PBE, Alexandria).

Unit cell a=4.5037 b=4.5037 c=4.5037 alpha=60.00 beta=60.00 gamma=60.00
With the nearest neighbours (Å) after each atom.
Atoms (fractional coordinates):
Pd1 0.5000 0.5000 0.5000  4 Hf 2.76, 4 Be 2.76
Hf1 0.7500 0.7500 0.7500  4 Au 2.76, 4 Pd 2.76
Au1 0.0000 0.0000 0.0000  4 Be 2.76, 4 Hf 2.76
Be1 0.2500 0.2500 0.2500  4 Pd 2.76, 4 Au 2.76

Results
**ΔH_f (0 K)**: -0.378 eV/atom
**Crystal system**: cubic



6.
# Hf2BeSiAu

Hf2BeSiAu after structural relaxation (PBE, Alexandria).

Unit cell a=5.1696 b=5.1696 c=4.4774 alpha=90.00 beta=90.00 gamma=90.00
With the nearest neighbours (Å) after each atom.
Atoms (fractional coordinates):
Be1 0.5000 0.5000 0.5000  8 Hf 3.42, 4 Si 3.66
Si1 0.0000 0.0000 0.5000  2 Au 2.24
Hf1 0.0000 0.5000 0.0000  2 Au 2.58
Hf2 0.5000 0.0000 0.0000  2 Au 2.58
Au1 0.0000 0.0000 0.0000  2 Si 2.24

Results
**Crystal system**: tetragonal
**Formation energy without anion corrections**: 5.46 eV per formula unit



7.
# Hf2TaBeAu

Hf2TaBeAu after structural relaxation (PBE, Alexandria).

Unit cell a=5.0605 b=4.9678 c=5.0605 alpha=90.00 beta=90.00 gamma=90.00
With the nearest neighbours (Å) after each atom.
Atoms (fractional coordinates):
Be1 0.5000 0.5000 0.5000  8 Hf 3.55, 4 Ta 3.58
Au1 0.0000 0.0000 0.0000  2 Ta 2.48, 4 Hf 2.53
Hf1 0.5000 0.0000 0.0000  2 Au 2.53
Hf2 0.0000 0.0000 0.5000  2 Au 2.53
Ta1 0.0000 0.5000 0.0000  2 Au 2.48

Results
**ΔH_f (0 K)**: 1.395 eV/atom
**Crystal system**: tetragonal



8.
# BeHgAu4

BeHgAu4 after structural relaxation (PBE, Alexandria).

Unit cell a=5.5205 b=5.5205 c=5.5205 alpha=60.00 beta=60.00 gamma=60.00
With the nearest neighbours (Å) after each atom.
Atoms (fractional coordinates):
Au1 0.3753 0.8742 0.3753  6 Au 2.75-2.77
Au2 0.8742 0.3753 0.3753  6 Au 2.75-2.77
Be1 0.7500 0.7500 0.7500  12 Au 3.24, 4 Hg 3.38
Au3 0.3753 0.3753 0.8742  6 Au 2.75-2.77
Au4 0.3753 0.3753 0.3753  6 Au 2.75-2.77
Hg1 0.0000 0.0000 0.0000  12 Au 3.24, 4 Be 3.38

Results
**ΔH_f (0 K)**: 0.357 eV/atom
**Relative energy among the computed polymorphs**: 369 meV per atom
**Crystal system**: cubic



no.,density of states at the Fermi level (states/eV per cell),total magnetization (μB/f.u.),E_tot (eV/atom)
1,2.6,0.00,-6.036
2,2.0,0.00,-5.867
3,3.2,2.95,-6.851
4,6.2,0.00,-6.708
5,3.0,0.00,-5.916
6,3.5,0.00,-5.375
7,3.6,0.00,-6.358
8,2.2,0.00,-2.500